(1)
{
  "formula": "LaCuAs3",
  "functional": "PBE",
  "state": "relaxed",
  "lattice": [[4.795, 0.000, 0.000], [0.000, 4.795, 0.000], [0.000, 0.000, 4.795]],
  "species": ["La", "Cu", "As", "As", "As"],
  "fractional_positions": [[0.000, 0.000, 0.000], [0.500, 0.500, 0.500], [0.000, 0.500, 0.500], [0.500, 0.000, 0.500], [0.500, 0.500, 0.000]],
  "de_polymorph_mev_per_atom": 0.0,
  "crystal_system": "cubic",
  "sg": "Pm-3m (221)",
  "formation_energy_mev_per_atom": -329
}

***

(2)
{
  "formula": "LaTcSb2",
  "functional": "PBE",
  "state": "relaxed",
  "lattice": [[-2.679, 2.679, 8.509], [2.679, -2.679, 8.509], [2.679, 2.679, -8.509]],
  "species": ["La", "La", "Tc", "Tc", "Sb", "Sb", "Sb", "Sb"],
  "fractional_positions": [[0.000, 0.000, 0.000], [0.750, 0.250, 0.500], [0.250, 0.750, 0.500], [0.500, 0.500, 0.000], [0.248, 0.625, 0.123], [0.375, 0.498, 0.623], [0.502, 0.125, 0.877], [0.875, 0.752, 0.377]],
  "de_polymorph_mev_per_atom": 499.7,
  "crystal_system": "tetragonal",
  "sg": "I-42d (122)",
  "formation_energy_uncorrected_mev_per_atom": 34
}

***

(3)
{
  "formula": "Sr2LiRuCl",
  "functional": "PBE",
  "state": "relaxed",
  "lattice": [[5.750, 0.000, 0.000], [0.000, 5.750, 0.000], [0.000, 0.000, 4.433]],
  "species": ["Sr", "Sr", "Li", "Ru", "Cl"],
  "fractional_positions": [[0.000, 0.500, 0.000], [0.500, 0.000, 0.000], [0.000, 0.000, 0.500], [0.500, 0.500, 0.500], [0.500, 0.500, 0.000]],
  "crystal_system": "tetragonal",
  "sg": "P4/mmm (123)",
  "formation_energy_uncorrected_mev_per_atom": -122
}

***

(4)
{
  "formula": "Zr2CdP",
  "functional": "PBE",
  "state": "relaxed",
  "lattice": [[-1.889, 2.558, 4.185], [1.889, -2.558, 4.185], [1.889, 2.558, -4.185]],
  "species": ["Zr", "Zr", "Cd", "P"],
  "fractional_positions": [[0.215, 0.215, 0.000], [0.785, 0.785, 0.000], [0.500, 0.000, 0.500], [0.000, 0.500, 0.500]],
  "de_polymorph_mev_per_atom": 297.3,
  "crystal_system": "orthorhombic",
  "sg": "Immm (71)",
  "formation_energy_mev_per_atom": -435
}

***

(5)
{
  "formula": "Zr2PaAl",
  "functional": "PBE",
  "state": "relaxed",
  "lattice": [[3.613, 0.000, 0.000], [0.000, 3.613, 0.000], [0.000, 0.000, 6.641]],
  "species": ["Zr", "Zr", "Pa", "Al"],
  "fractional_positions": [[0.000, 0.000, 0.240], [0.000, 0.000, 0.760], [0.500, 0.500, 0.500], [0.500, 0.500, 0.000]],
  "de_polymorph_mev_per_atom": 77.9,
  "crystal_system": "tetragonal",
  "sg": "P4/mmm (123)",
  "formation_energy_mev_per_atom": -113
}

***

(6)
{
  "formula": "GdOs6",
  "functional": "PBE",
  "state": "relaxed",
  "lattice": [[-3.403, 3.403, 3.403], [3.403, -3.403, 3.403], [3.403, 3.403, -3.403]],
  "species": ["Gd", "Os", "Os", "Os", "Os", "Os", "Os"],
  "fractional_positions": [[0.000, 0.000, 0.000], [0.250, 0.500, 0.750], [0.250, 0.750, 0.500], [0.500, 0.250, 0.750], [0.500, 0.750, 0.250], [0.750, 0.250, 0.500], [0.750, 0.500, 0.250]],
  "crystal_system": "cubic",
  "sg": "Im-3m (229)",
  "formation_energy_mev_per_atom": 767
}

***

(7)
{
  "formula": "Hf6Ga5H",
  "functional": "PBE",
  "state": "relaxed",
  "lattice": [[3.670, -7.064, 0.000], [3.670, 7.064, 0.000], [-2.992, 0.000, 4.251]],
  "species": ["Hf", "Hf", "Hf", "Hf", "Hf", "Hf", "Ga", "Ga", "Ga", "Ga", "Ga", "H"],
  "fractional_positions": [[0.076, 0.416, 0.764], [0.195, 0.195, 0.352], [0.416, 0.076, 0.764], [0.584, 0.924, 0.236], [0.805, 0.805, 0.648], [0.924, 0.584, 0.236], [0.160, 0.840, 0.000], [0.345, 0.655, 0.500], [0.500, 0.500, 0.000], [0.655, 0.345, 0.500], [0.840, 0.160, 0.000], [0.000, 0.000, 0.500]],
  "crystal_system": "monoclinic",
  "energy_ev_per_fu": -80.64,
  "sg": "C2/m (12)"
}

***

(8)
{
  "formula": "Cu2SnTe4",
  "functional": "PBE",
  "state": "relaxed",
  "lattice": [[-4.228, 4.228, 2.727], [4.228, -4.228, 2.727], [4.228, 4.228, -2.727]],
  "species": ["Cu", "Cu", "Sn", "Te", "Te", "Te", "Te"],
  "fractional_positions": [[0.250, 0.750, 0.500], [0.750, 0.250, 0.500], [0.000, 0.000, 0.000], [0.200, 0.323, 0.522], [0.323, 0.800, 0.123], [0.677, 0.200, 0.877], [0.800, 0.677, 0.478]],
  "crystal_system": "tetragonal",
  "sg": "I4/m (87)",
  "formation_energy_uncorrected_mev_per_atom": 71
}

***

Number 1: Fermi-level density of states 2.424 states/eV/cell. Number 2: Fermi-level density of states 3.377 states/eV/cell. Number 3: Fermi-level density of states 2.083 states/eV/cell. Number 4: Fermi-level density of states 3.822 states/eV/cell. Number 5: Fermi-level density of states 4.603 states/eV/cell. Number 6: Fermi-level density of states 9.725 states/eV/cell. Number 7: Fermi-level density of states 8.008 states/eV/cell. Number 8: Fermi-level density of states 2.494 states/eV/cell.